First-principles (PBE) data for a relaxed structure of TcBi2, as listed in the Open Quantum Materials Database.

```
TcBi2
1.0
0.0000 4.4173 4.4173
4.4173 0.0000 4.4173
4.4173 4.4173 0.0000
Bi Tc
4 2
Direct
0.6250 0.6250 0.1250
0.6250 0.1250 0.6250
0.1250 0.6250 0.6250
0.6250 0.6250 0.6250
0.0000 0.0000 0.0000
0.2500 0.2500 0.2500
```

## Properties
Its space group is Fd-3m. The excess energy over the best structure of this formula in the dataset comes out at 1257 meV/atom. The volume is 28.7 Å³/atom.